{
  "formula": "NaAc3Tc2N6",
  "functional": "PBE",
  "state": "relaxed",
  "lattice": [[6.0415, 0.0000, 0.0000], [-3.0208, 5.2321, 0.0000], [0.0000, 0.0000, 6.9058]],
  "species": ["Na", "Ac", "Ac", "Ac", "Tc", "Tc", "N", "N", "N", "N", "N", "N"],
  "fractional_positions": [[0.0000, 0.0000, 0.0000], [0.0000, 0.0000, 0.5000], [0.3333, 0.6667, 0.1828], [0.6667, 0.3333, 0.8172], [0.3333, 0.6667, 0.6995], [0.6667, 0.3333, 0.3005], [0.1689, 0.3378, 0.7797], [0.1689, 0.8311, 0.7797], [0.3378, 0.1689, 0.2203], [0.6622, 0.8311, 0.7797], [0.8311, 0.1689, 0.2203], [0.8311, 0.6622, 0.2203]],
  "crystal_system": "trigonal",
  "space_group": "No. 164",
  "formation_energy_uncorrected_ev_per_atom": -0.555
}



{
  "formula": "YFe2Pb",
  "functional": "PBE",
  "state": "relaxed",
  "lattice": [[3.3793, 0.0000, 0.0000], [0.0000, 4.4493, 0.0000], [-0.0309, 0.0000, 5.6450]],
  "species": ["Y", "Fe", "Fe", "Pb"],
  "fractional_positions": [[0.0000, 0.0000, 0.0000], [0.4688, 0.5000, 0.7941], [0.5312, 0.5000, 0.2059], [0.5000, 0.0000, 0.5000]],
  "crystal_system": "monoclinic",
  "space_group": "No. 10",
  "formation_enthalpy_0k_ev_per_fu": 1.271
}



Results for D(E_F): 6.62; 5.29 (in states/eV per cell, following the order of the records).